Model a:
DFT (PBE) results for ZnBrO2 after structural relaxation.

a = 5.6428 Å, b = 5.6428 Å, c = 5.6428 Å
α = 122.58°, β = 122.58°, γ = 85.58°
With the nearest neighbours (Å) after each atom.
Element x y z (fractional)
1 Zn 0.0000 0.0000 0.0000  4 O 1.97
2 Zn 0.7500 0.2500 0.5000  4 O 1.97
3 Br 0.2500 0.7500 0.5000  4 O 2.42
4 Br 0.5000 0.5000 0.0000  4 O 2.42
5 O 0.0585 0.6250 0.9335  2 Zn 1.97
6 O 0.3750 0.3085 0.4335  2 Zn 1.97
7 O 0.6915 0.1250 0.0665  2 Zn 1.97
8 O 0.8750 0.9415 0.5665  2 Zn 1.97

D(E_F): 9.77 states/eV/cell

=====

Model b:
DFT (PBE) results for ZnBrO2 after structural relaxation.

a = 4.1368 Å, b = 4.1368 Å, c = 4.1368 Å
α = 60.00°, β = 60.00°, γ = 60.00°
With the nearest neighbours (Å) after each atom.
Element x y z (fractional)
1 Zn 0.0000 0.0000 0.0000  8 O 2.53
2 Br 0.5000 0.5000 0.5000  8 O 2.53
3 O 0.2500 0.2500 0.2500  4 Br 2.53, 4 Zn 2.53
4 O 0.7500 0.7500 0.7500  4 Br 2.53, 4 Zn 2.53

D(E_F): 5.27 states/eV/cell

=====

Model c:
DFT (PBE) results for ZnBrO2 after structural relaxation.

a = 7.1550 Å, b = 7.1550 Å, c = 7.1550 Å
α = 25.24°, β = 25.24°, γ = 25.24°
With the nearest neighbours (Å) after each atom.
Element x y z (fractional)
1 Zn 0.0000 0.0000 0.0000  2 O 1.79
2 Br 0.5000 0.5000 0.5000  6 O 2.46
3 O 0.0861 0.0861 0.0861  1 Zn 1.79
4 O 0.9139 0.9139 0.9139  1 Zn 1.79

D(E_F): 2.91 states/eV/cell

=====

Model d:
DFT (PBE) results for ZnBrO2 after structural relaxation.

a = 6.2856 Å, b = 6.2856 Å, c = 6.2856 Å
α = 29.20°, β = 29.20°, γ = 29.20°
With the nearest neighbours (Å) after each atom.
Element x y z (fractional)
1 Zn 0.0000 0.0000 0.0000  6 O 2.11
2 Br 0.5000 0.5000 0.5000  2 O 1.96
3 O 0.3914 0.3914 0.3914  1 Br 1.96, 3 Zn 2.11
4 O 0.6086 0.6086 0.6086  1 Br 1.96, 3 Zn 2.11

D(E_F): 1.63 states/eV/cell

=====

Last place for stability: model b

=====

Model a:
DFT (PBE) results for Zn3BrO after structural relaxation.

a = 4.4933 Å, b = 4.4933 Å, c = 4.4933 Å
α = 90.00°, β = 90.00°, γ = 90.00°
With the nearest neighbours (Å) after each atom.
Element x y z (fractional)
1 Zn 0.0000 0.0000 0.5000  2 O 2.25
2 Zn 0.0000 0.5000 0.0000  2 O 2.25
3 Zn 0.5000 0.0000 0.0000  2 O 2.25
4 Br 0.5000 0.5000 0.5000  12 Zn 3.18
5 O 0.0000 0.0000 0.0000  6 Zn 2.25

D(E_F): 3.57 states/eV/cell

=====

Model b:
DFT (PBE) results for Zn3BrO after structural relaxation.

a = 5.2014 Å, b = 5.2014 Å, c = 5.2014 Å
α = 90.00°, β = 90.00°, γ = 90.00°
With the nearest neighbours (Å) after each atom.
Element x y z (fractional)
1 Zn 0.0000 0.0000 0.5000  2 Br 2.60
2 Zn 0.0000 0.5000 0.0000  2 Br 2.60
3 Zn 0.5000 0.0000 0.0000  2 Br 2.60
4 Br 0.0000 0.0000 0.0000  6 Zn 2.60
5 O 0.5000 0.5000 0.5000  12 Zn 3.68

D(E_F): 4.68 states/eV/cell

=====

Last place for stability: model b

=====

Model a:
DFT (PBE) results for ZrBrO2 after structural relaxation.

a = 6.4600 Å, b = 6.4600 Å, c = 6.4600 Å
α = 120.09°, β = 120.09°, γ = 89.84°
With the nearest neighbours (Å) after each atom.
Element x y z (fractional)
1 Zr 0.0000 0.0000 0.0000  4 O 1.98
2 Zr 0.7500 0.2500 0.5000  4 O 1.98
3 Br 0.2500 0.7500 0.5000  12 O 3.77-3.79, 4 Br 3.95, 4 Zr 3.95
4 Br 0.5000 0.5000 0.0000  12 O 3.77-3.79, 4 Zr 3.95, 4 Br 3.95
5 O 0.3750 0.1269 0.2519  2 Zr 1.98
6 O 0.8731 0.1250 0.2481  2 Zr 1.98
7 O 0.8750 0.1231 0.7481  2 Zr 1.98
8 O 0.8769 0.6250 0.7519  2 Zr 1.98

D(E_F): 25.24 states/eV/cell

=====

Model b:
DFT (PBE) results for ZrBrO2 after structural relaxation.

a = 7.8540 Å, b = 7.8540 Å, c = 7.8540 Å
α = 25.67°, β = 25.67°, γ = 25.67°
With the nearest neighbours (Å) after each atom.
Element x y z (fractional)
1 Zr 0.0000 0.0000 0.0000  2 O 1.94
2 Br 0.5000 0.5000 0.5000  6 O 2.74
3 O 0.0852 0.0852 0.0852  1 Zr 1.94
4 O 0.9148 0.9148 0.9148  1 Zr 1.94

D(E_F): 3.67 states/eV/cell

=====

Last place for stability: model b

=====

Model a:
DFT (PBE) results for Zr2BrO after structural relaxation.

a = 4.5194 Å, b = 4.5194 Å, c = 4.5194 Å
α = 60.00°, β = 60.00°, γ = 60.00°
With the nearest neighbours (Å) after each atom.
Element x y z (fractional)
1 Zr 0.2500 0.2500 0.2500  4 O 2.77, 4 Br 2.77
2 Zr 0.7500 0.7500 0.7500  4 O 2.77, 4 Br 2.77
3 Br 0.0000 0.0000 0.0000  8 Zr 2.77
4 O 0.5000 0.5000 0.5000  8 Zr 2.77

D(E_F): 3.81 states/eV/cell

=====

Model b:
DFT (PBE) results for Zr2BrO after structural relaxation.

a = 6.9393 Å, b = 6.9393 Å, c = 6.9393 Å
α = 133.22°, β = 133.22°, γ = 68.31°
With the nearest neighbours (Å) after each atom.
Element x y z (fractional)
1 Zr 0.0178 0.6250 0.8928  2 O 2.14
2 Zr 0.3750 0.2678 0.3928  2 O 2.14
3 Zr 0.7322 0.1250 0.1072  2 O 2.14
4 Zr 0.8750 0.9822 0.6072  2 O 2.14
5 Br 0.2500 0.7500 0.5000  4 Zr 2.80
6 Br 0.5000 0.5000 0.0000  4 Zr 2.80
7 O 0.0000 0.0000 0.0000  4 Zr 2.14
8 O 0.7500 0.2500 0.5000  4 Zr 2.14

D(E_F): 5.95 states/eV/cell

=====

Last place for stability: model a

=====

Model a:
DFT (PBE) results for Os3Br after structural relaxation.

a = 9.7737 Å, b = 9.7737 Å, c = 9.7737 Å
α = 16.43°, β = 16.43°, γ = 16.43°
With the nearest neighbours (Å) after each atom.
Element x y z (fractional)
1 Os 0.0000 0.0000 0.0000  12 Os 2.66-2.79
2 Os 0.2603 0.2603 0.2603  9 Os 2.66-2.79
3 Os 0.7397 0.7397 0.7397  9 Os 2.66-2.79
4 Br 0.5000 0.5000 0.5000  6 Br 2.79

D(E_F): 2.03 states/eV/cell

=====

Model b:
DFT (PBE) results for Os3Br after structural relaxation.

a = 5.3061 Å, b = 5.3061 Å, c = 5.3061 Å
α = 149.14°, β = 65.22°, γ = 124.11°
With the nearest neighbours (Å) after each atom.
Element x y z (fractional)
1 Os 0.0000 0.0000 0.0000  2 Br 2.57, 6 Os 2.63-2.82
2 Os 0.3942 0.6636 0.7305  9 Os 2.63-2.93, 3 Br 2.83-2.88
3 Os 0.9331 0.6636 0.2695  9 Os 2.63-2.93, 3 Br 2.83-2.88
4 Br 0.5687 0.0687 0.5000  6 Os 2.57-2.83, 2 Br 2.82

D(E_F): 2.48 states/eV/cell

=====

Last place for stability: model b

=====

Model a:
DFT (PBE) results for Os3Br after structural relaxation.

a = 4.6442 Å, b = 4.6442 Å, c = 4.6442 Å
α = 127.10°, β = 127.10°, γ = 78.08°
With the nearest neighbours (Å) after each atom.
Element x y z (fractional)
1 Os 0.0000 0.0000 0.0000  8 Os 2.74, 4 Br 2.93
2 Os 0.2500 0.7500 0.5000  4 Br 2.74, 8 Os 2.74-2.93
3 Os 0.7500 0.2500 0.5000  4 Br 2.74, 8 Os 2.74-2.93
4 Br 0.5000 0.5000 0.0000  12 Os 2.74-2.93

D(E_F): 4.78 states/eV/cell

=====

Model b:
DFT (PBE) results for Os3Br after structural relaxation.

a = 5.8618 Å, b = 5.8618 Å, c = 4.4376 Å
α = 90.00°, β = 90.00°, γ = 121.86°
With the nearest neighbours (Å) after each atom.
Element x y z (fractional)
1 Os 0.1148 0.3335 0.7500  4 Os 2.55-2.67, 3 Br 2.64-2.72
2 Os 0.1827 0.8173 0.7500  6 Os 2.65-2.67
3 Os 0.3335 0.1148 0.2500  4 Os 2.55-2.67, 3 Br 2.64-2.72
4 Os 0.6665 0.8852 0.7500  4 Os 2.55-2.67, 3 Br 2.64-2.72
5 Os 0.8173 0.1827 0.2500  6 Os 2.65-2.67
6 Os 0.8852 0.6665 0.2500  4 Os 2.55-2.67, 3 Br 2.64-2.72
7 Br 0.4020 0.5980 0.2500  6 Os 2.64-2.72
8 Br 0.5980 0.4020 0.7500  6 Os 2.64-2.72

D(E_F): 7.40 states/eV/cell

=====

Model c:
DFT (PBE) results for Os3Br after structural relaxation.

a = 5.1690 Å, b = 5.1690 Å, c = 4.4713 Å
α = 93.06°, β = 93.06°, γ = 31.89°
With the nearest neighbours (Å) after each atom.
Element x y z (fractional)
1 Os 0.0000 0.0000 0.0000  4 Br 2.65, 6 Os 2.75-2.84
2 Os 0.2803 0.2803 0.7710  1 Br 2.56, 8 Os 2.59-2.84
3 Os 0.7197 0.7197 0.2290  1 Br 2.56, 8 Os 2.59-2.84
4 Br 0.5000 0.5000 0.5000  6 Os 2.56-2.65, 2 Br 2.84

D(E_F): 2.85 states/eV/cell

=====

Model d:
DFT (PBE) results for Os3Br after structural relaxation.

a = 3.9543 Å, b = 3.9543 Å, c = 3.9543 Å
α = 90.00°, β = 90.00°, γ = 90.00°
With the nearest neighbours (Å) after each atom.
Element x y z (fractional)
1 Os 0.0000 0.0000 0.5000  4 Br 2.80, 8 Os 2.80
2 Os 0.0000 0.5000 0.0000  4 Br 2.80, 8 Os 2.80
3 Os 0.5000 0.0000 0.0000  4 Br 2.80, 8 Os 2.80
4 Br 0.5000 0.5000 0.5000  12 Os 2.80

D(E_F): 5.96 states/eV/cell

=====

Last place for stability: model d

=====

Model a:
DFT (PBE) results for Os5Br after structural relaxation.

a = 5.2536 Å, b = 5.2536 Å, c = 6.6790 Å
α = 105.57°, β = 105.57°, γ = 31.06°
With the nearest neighbours (Å) after each atom.
Element x y z (fractional)
1 Os 0.0000 0.0000 0.0000  10 Os 2.56-2.83
2 Os 0.2657 0.2657 0.0370  1 Br 2.62, 9 Os 2.63-2.83
3 Os 0.5586 0.5586 0.6925  1 Br 2.54, 6 Os 2.68-2.81
4 Os 0.6589 0.6589 0.3099  9 Os 2.64-2.81, 2 Br 2.79
5 Os 0.9402 0.9402 0.3477  10 Os 2.56-2.81
6 Br 0.3036 0.3036 0.6647  4 Os 2.54-2.79, 2 Br 2.81

D(E_F): 3.43 states/eV/cell

=====

Model b:
DFT (PBE) results for Os5Br after structural relaxation.

a = 4.8661 Å, b = 4.8661 Å, c = 4.4693 Å
α = 90.00°, β = 90.00°, γ = 120.00°
With the nearest neighbours (Å) after each atom.
Element x y z (fractional)
1 Os 0.0000 0.6311 0.0000  8 Os 2.67-2.72, 2 Br 2.87
2 Os 0.3333 0.6667 0.5000  9 Os 2.72-2.81, 3 Br 2.81
3 Os 0.3689 0.3689 0.0000  8 Os 2.67-2.72, 2 Br 2.87
4 Os 0.6311 0.0000 0.0000  8 Os 2.67-2.72, 2 Br 2.87
5 Os 0.6667 0.3333 0.5000  9 Os 2.72-2.81, 3 Br 2.81
6 Br 0.0000 0.0000 0.5000  12 Os 2.81-2.87

D(E_F): 4.96 states/eV/cell

=====

Last place for stability: model b

=====

Model a:
DFT (PBE) results for Os3Br4 after structural relaxation.

a = 15.4691 Å, b = 15.4691 Å, c = 15.4691 Å
α = 168.48°, β = 168.48°, γ = 16.31°
With the nearest neighbours (Å) after each atom.
Element x y z (fractional)
1 Os 0.0000 0.0000 0.0000  8 Br 2.71
2 Os 0.2735 0.2735 0.0000  4 Os 2.62, 4 Br 2.92
3 Os 0.7266 0.7266 0.0000  4 Os 2.62, 4 Br 2.92
4 Br 0.1636 0.1636 0.0000  4 Os 2.92, 4 Br 3.10
5 Br 0.4479 0.4479 0.0000  4 Os 2.71
6 Br 0.5521 0.5521 0.0000  4 Os 2.71
7 Br 0.8364 0.8364 0.0000  4 Os 2.92, 4 Br 3.10

D(E_F): 5.80 states/eV/cell

=====

Model b:
DFT (PBE) results for Os3Br4 after structural relaxation.

a = 4.9752 Å, b = 4.9752 Å, c = 9.4281 Å
α = 90.00°, β = 90.00°, γ = 120.00°
With the nearest neighbours (Å) after each atom.
Element x y z (fractional)
1 Os 0.0000 0.5000 0.0000  4 Os 2.49
2 Os 0.5000 0.0000 0.0000  4 Os 2.49
3 Os 0.5000 0.5000 0.0000  4 Os 2.49
4 Br 0.0000 0.0000 0.1862  6 Os 3.04
5 Br 0.0000 0.0000 0.8138  6 Os 3.04
6 Br 0.3333 0.6667 0.5000  3 Br 2.87
7 Br 0.6667 0.3333 0.5000  3 Br 2.87

D(E_F): 7.58 states/eV/cell

=====

Last place for stability: model b

=====

Model a:
DFT (PBE) results for P2OsBr after structural relaxation.

a = 2.8951 Å, b = 2.8951 Å, c = 11.5554 Å
α = 90.00°, β = 90.00°, γ = 121.24°
With the nearest neighbours (Å) after each atom.
Element x y z (fractional)
1 P 0.0000 0.0000 0.1691  2 Os 2.42
2 P 0.0000 0.0000 0.8309  2 Os 2.42
3 Os 0.5000 0.5000 0.0000  4 P 2.42
4 Br 0.5000 0.5000 0.5000  6 Br 2.84-2.90

D(E_F): 2.50 states/eV/cell

=====

Model b:
DFT (PBE) results for P2OsBr after structural relaxation.

a = 3.8980 Å, b = 3.8980 Å, c = 7.5821 Å
α = 113.16°, β = 113.16°, γ = 46.77°
With the nearest neighbours (Å) after each atom.
Element x y z (fractional)
1 P 0.1293 0.1293 0.3350  3 Os 2.40-2.41
2 P 0.8707 0.8707 0.6650  3 Os 2.40-2.41
3 Os 0.5000 0.5000 0.5000  6 P 2.40-2.41
4 Br 0.5000 0.5000 0.0000  4 P 2.77, 2 Br 3.09

D(E_F): 1.56 states/eV/cell

=====

Model c:
DFT (PBE) results for P2OsBr after structural relaxation.

a = 2.8561 Å, b = 2.8561 Å, c = 10.7740 Å
α = 90.00°, β = 90.00°, γ = 90.00°
With the nearest neighbours (Å) after each atom.
Element x y z (fractional)
1 P 0.0000 0.0000 0.1424  4 Os 2.54
2 P 0.0000 0.0000 0.8576  4 Os 2.54
3 Os 0.5000 0.5000 0.0000  8 P 2.54
4 Br 0.5000 0.5000 0.5000  4 Br 2.86

D(E_F): 1.47 states/eV/cell

=====

Model d:
DFT (PBE) results for P2OsBr after structural relaxation.

a = 3.0323 Å, b = 4.4409 Å, c = 4.6100 Å
α = 90.00°, β = 90.00°, γ = 90.00°
With the nearest neighbours (Å) after each atom.
Element x y z (fractional)
1 P 0.0000 0.0000 0.0000  4 P 2.69, 4 Br 2.76
2 P 0.5000 0.5000 0.0000  4 P 2.69, 4 Os 2.76
3 Os 0.0000 0.5000 0.5000  4 Br 2.69, 4 P 2.76
4 Br 0.5000 0.0000 0.5000  4 Os 2.69, 4 P 2.76

D(E_F): 1.86 states/eV/cell

=====

Last place for stability: model d

=====

Model a:
DFT (PBE) results for POsBr3 after structural relaxation.

a = 5.1577 Å, b = 5.1577 Å, c = 5.1577 Å
α = 90.00°, β = 90.00°, γ = 90.00°
With the nearest neighbours (Å) after each atom.
Element x y z (fractional)
1 P 0.0000 0.0000 0.0000  6 Br 2.58
2 Os 0.5000 0.5000 0.5000  12 Br 3.65
3 Br 0.0000 0.0000 0.5000  2 P 2.58
4 Br 0.0000 0.5000 0.0000  2 P 2.58
5 Br 0.5000 0.0000 0.0000  2 P 2.58

D(E_F): 7.08 states/eV/cell

=====

Model b:
DFT (PBE) results for POsBr3 after structural relaxation.

a = 4.9959 Å, b = 4.9959 Å, c = 4.9959 Å
α = 90.00°, β = 90.00°, γ = 90.00°
With the nearest neighbours (Å) after each atom.
Element x y z (fractional)
1 P 0.0000 0.0000 0.0000  12 Br 3.53
2 Os 0.5000 0.5000 0.5000  6 Br 2.50
3 Br 0.0000 0.5000 0.5000  2 Os 2.50
4 Br 0.5000 0.0000 0.5000  2 Os 2.50
5 Br 0.5000 0.5000 0.0000  2 Os 2.50

D(E_F): 3.92 states/eV/cell

=====

Last place for stability: model a

=====

Model a:
DFT (PBE) results for POsS2Br after structural relaxation.

a = 4.6630 Å, b = 4.6630 Å, c = 4.9428 Å
α = 90.00°, β = 90.00°, γ = 90.00°
With the nearest neighbours (Å) after each atom.
Element x y z (fractional)
1 P 0.0000 0.0000 0.0000  2 Br 2.47
2 Os 0.5000 0.5000 0.0000  4 P 3.30, 8 S 3.40
3 S 0.0000 0.5000 0.5000  2 Br 2.33
4 S 0.5000 0.0000 0.5000  2 Br 2.33
5 Br 0.0000 0.0000 0.5000  4 S 2.33, 2 P 2.47

D(E_F): 5.77 states/eV/cell

=====

Model b:
DFT (PBE) results for POsS2Br after structural relaxation.

a = 4.4873 Å, b = 4.4873 Å, c = 5.1108 Å
α = 90.00°, β = 90.00°, γ = 90.00°
With the nearest neighbours (Å) after each atom.
Element x y z (fractional)
1 P 0.0000 0.0000 0.0000  2 Os 2.56
2 Os 0.0000 0.0000 0.5000  4 S 2.24
3 S 0.0000 0.5000 0.5000  2 Os 2.24
4 S 0.5000 0.0000 0.5000  2 Os 2.24
5 Br 0.5000 0.5000 0.0000  4 P 3.17, 8 S 3.40

D(E_F): 3.72 states/eV/cell

=====

Last place for stability: model a